{"formula": "CaSbTe2Rh", "functional": "PBE", "state": "relaxed", "cell": [[-0.802, 5.377, -1.086], [-2.668, 0.576, 4.825], [4.221, 1.075, 2.206]], "species": ["Sb", "Ca", "Te", "Te", "Rh"], "frac_coords": [[0.000, 0.000, 0.500], [0.500, 0.500, 0.500], [0.000, 0.500, 0.000], [0.500, 0.000, 0.000], [0.000, 0.000, 0.000]], "raw_formation_energy_ev_per_atom": -0.31, "vol_a3_per_atom": 30.01, "n_ef_per_ev_fu": 3.163, "final_energy_ev_per_atom": -4.263}